NaCoAgF2 after structural relaxation, computed with GGA+U.

Cell and atoms, written as CIF:
```
data_NaCoAgF2
_symmetry_space_group_name_H-M 'P 1'
_symmetry_Int_Tables_number 1
_symmetry_space_group_name_Hall 'P 1'
_cell_length_a 4.1268
_cell_length_b 5.1117
_cell_length_c 4.1268
_cell_angle_alpha 90.00
_cell_angle_beta 90.00
_cell_angle_gamma 90.00
loop_
_atom_site_label
_atom_site_fract_x
_atom_site_fract_y
_atom_site_fract_z
Ag1 0.0000 0.5000 0.0000
Na1 0.0000 0.0000 0.0000
Co1 0.5000 0.5000 0.5000
F1 0.5000 0.0000 0.0000
F2 0.0000 0.0000 0.5000
```

Uncorrected energy ... -0.1161 hartree per atom